Entry from Alexandria: a relaxed TbPm12Si4 crystal (PBE).

a b c (Å): 9.104 9.104 9.104
angles (deg): 109.47 109.47 109.47
Fractional positions:
Pm: 0.494 0.169 0.325
Pm: 0.169 0.675 0.845
Pm: 0.831 0.325 0.155
Pm: 0.506 0.831 0.675
Pm: 0.831 0.675 0.506
Pm: 0.325 0.494 0.169
Pm: 0.845 0.169 0.675
Pm: 0.155 0.831 0.325
Pm: 0.325 0.155 0.831
Pm: 0.675 0.506 0.831
Pm: 0.169 0.325 0.494
Pm: 0.675 0.845 0.169
Si: 0.000 0.500 0.000
Si: 0.500 0.000 0.000
Si: 0.500 0.500 0.500
Si: 0.000 0.000 0.500
Tb: 0.000 0.000 0.000

## Properties
Size of the total moment, μB/f.u.: 0.000
Density, g/cm3: 5.8
Crystal system: cubic
Energy, Ry per atom: -0.362
Symmetry: No. 204